# 1
A geometry-optimized ScAlRh4 structure, computed with PBE-GGA.

extended XYZ file:
```
6
Lattice="3.2384 1.4842 3.7107 -1.7450 2.7262 3.9977 -0.2689 -2.1562 4.6624" Properties=species:S:1:pos:R:3 pbc="T T T"
Sc 0.9183 1.5407 9.2781
Al 0.0000 0.0000 0.0000
Rh -0.4171 2.1375 6.6396
Rh 2.0837 1.5142 6.4955
Rh 0.3237 -0.3126 6.9731
Rh 0.4586 0.7694 4.6334
```

For the density of states at the Fermi level, the calculation gives 1.189 states/eV per atom. For the energy above the lowest structure with this stoichiometry, the calculation gives 0 meV per atom. For the formation energy, the calculation gives -2.7 eV/f.u.

---

# 2
A geometry-optimized ScAl2Rh2 structure, computed with PBE-GGA.

extended XYZ file:
```
5
Lattice="-1.6524 1.7770 5.1619 -5.1985 -1.5594 1.7542 4.5723 -2.5670 -2.2447" Properties=species:S:1:pos:R:3 pbc="T T T"
Sc 0.0000 0.0000 0.0000
Al -4.3127 0.1370 4.3538
Al -2.5381 0.0806 2.5623
Rh -2.0259 -2.0088 1.4837
Rh -0.2528 -0.3406 3.1876
```

For the density of states at the Fermi level, the calculation gives 0.561 states/eV per atom. For the energy above the lowest structure with this stoichiometry, the calculation gives 162 meV per atom. For the formation energy, the calculation gives -3.7 eV/f.u.

---

# 3
A geometry-optimized Sc2Al2Rh3 structure, computed with PBE-GGA.

extended XYZ file:
```
7
Lattice="-2.0929 -2.3517 3.1660 4.3463 -0.6684 -0.7891 1.5609 6.5731 2.7717" Properties=species:S:1:pos:R:3 pbc="T T T"
Sc 0.2986 -1.0440 2.5660
Sc 3.5156 4.5970 2.5826
Al 0.6098 1.8502 1.7761
Al 3.2045 1.7028 3.3725
Rh 0.0000 0.0000 0.0000
Rh 1.2137 3.5628 3.4450
Rh 2.6006 -0.0098 1.7036
```

For the density of states at the Fermi level, the calculation gives 0.560 states/eV per atom. For the formation energy, the calculation gives -6.2 eV/f.u.

---

# 4
A geometry-optimized ScAlRh4 structure, computed with PBE-GGA.

extended XYZ file:
```
6
Lattice="4.0824 0.0002 -0.0013 0.0000 4.0874 -0.0021 0.0028 0.0040 6.1212" Properties=species:S:1:pos:R:3 pbc="T T T"
Sc 2.0495 2.0362 6.1080
Al 0.0067 4.0785 3.0471
Rh 2.0473 4.0774 1.6155
Rh 2.0483 4.0793 4.4774
Rh 0.0075 2.0356 4.4765
Rh 0.0059 2.0341 1.6198
```

For the density of states at the Fermi level, the calculation gives 1.479 states/eV per atom. For the energy above the lowest structure with this stoichiometry, the calculation gives 244 meV per atom. For the formation energy, the calculation gives -1.3 eV/f.u.